Crystalline TbHo4Zn5 at its relaxed geometry. Source: Alexandria via LeMat-Bulk, functional PBE.

Cell lengths 3.559, 3.559, 17.786 Å; angles 90.00, 90.00, 90.00 degrees
Atoms (fractional coordinates):
Tb 0.000 0.000 0.000
Ho 0.000 0.000 0.201
Ho 0.000 0.000 0.400
Ho 0.000 0.000 0.600
Ho 0.000 0.000 0.799
Zn 0.500 0.500 0.102
Zn 0.500 0.500 0.301
Zn 0.500 0.500 0.500
Zn 0.500 0.500 0.699
Zn 0.500 0.500 0.898

- formation energy (eV per formula unit) = -3.42
- total DFT energy (no corrections) (eV per atom) = -3.2727
- density (g cm⁻³) = 8.44

***

Crystalline TbHo4Zn4 at its relaxed geometry. Source: Alexandria via LeMat-Bulk, functional PBE.

Cell lengths 5.905, 8.972, 8.972 Å; angles 90.00, 90.00, 90.00 degrees
Atoms (fractional coordinates):
Tb 0.000 0.000 0.000
Tb 0.500 0.500 0.500
Ho 0.390 0.315 0.910
Ho 0.890 0.590 0.815
Ho 0.390 0.685 0.090
Ho 0.110 0.185 0.590
Ho 0.610 0.910 0.685
Ho 0.110 0.815 0.410
Ho 0.890 0.410 0.185
Ho 0.610 0.090 0.315
Zn 0.624 0.772 0.366
Zn 0.624 0.228 0.634
Zn 0.124 0.866 0.728
Zn 0.876 0.272 0.866
Zn 0.876 0.728 0.134
Zn 0.376 0.366 0.228
Zn 0.376 0.634 0.772
Zn 0.124 0.134 0.272

- formation energy (eV per formula unit) = -0.58
- total DFT energy (no corrections) (eV per atom) = -3.1793
- density (g cm⁻³) = 7.55

***

Crystalline Tb15Ho4Zr at its relaxed geometry. Source: Alexandria via LeMat-Bulk, functional PBE.

Cell lengths 5.005, 5.005, 24.909 Å; angles 90.00, 90.00, 90.00 degrees
Atoms (fractional coordinates):
Tb 0.500 0.500 0.000
Tb 0.500 0.500 0.197
Tb 0.500 0.500 0.399
Tb 0.500 0.500 0.601
Tb 0.500 0.500 0.803
Tb 0.500 0.000 0.094
Tb 0.500 0.000 0.298
Tb 0.500 0.000 0.500
Tb 0.500 0.000 0.702
Tb 0.500 0.000 0.906
Tb 0.000 0.500 0.094
Tb 0.000 0.500 0.298
Tb 0.000 0.500 0.500
Tb 0.000 0.500 0.702
Tb 0.000 0.500 0.906
Ho 0.000 0.000 0.198
Ho 0.000 0.000 0.399
Ho 0.000 0.000 0.601
Ho 0.000 0.000 0.802
Zr 0.000 0.000 0.000

- formation energy (eV per formula unit) = 0.65
- total DFT energy (no corrections) (eV per atom) = -4.7831
- density (g cm⁻³) = 8.34

***

Crystalline Tb2HoZr at its relaxed geometry. Source: Alexandria via LeMat-Bulk, functional PBE.

Cell lengths 3.442, 3.442, 11.469 Å; angles 81.37, 81.37, 60.00 degrees
Atoms (fractional coordinates):
Tb 0.755 0.755 0.736
Tb 0.245 0.245 0.264
Ho 0.000 0.000 0.000
Zr 0.500 0.500 0.500

- formation energy (eV per formula unit) = 0.34
- total DFT energy (no corrections) (eV per atom) = -5.5108
- density (g cm⁻³) = 8.23